[1]
! PBE-GGA HfNi3, optimized geometry; values from VASP
&SYSTEM
  ibrav = 0, nat = 8, ntyp = 2
/
ATOMIC_SPECIES
Hf 178.49 Hf.upf
Ni 58.69 Ni.upf
ATOMIC_POSITIONS angstrom
Hf 0.000 3.033 1.071
Hf 2.626 1.516 3.212
Ni 0.000 1.433 3.212
Ni -1.385 3.832 3.212
Ni 1.241 0.717 1.071
Ni 1.385 3.832 3.212
Ni 4.012 0.717 1.071
Ni 2.626 3.116 1.071
CELL_PARAMETERS angstrom
5.253 0.000 0.000
-2.626 4.549 0.000
0.000 0.000 4.283
! Size of the total moment   0.00 μB/f.u.
! Formation energy   -0.53 eV/atom

[2]
! PBE-GGA SmGdNO, optimized geometry; values from VASP
&SYSTEM
  ibrav = 0, nat = 16, ntyp = 4
/
ATOMIC_SPECIES
Sm 150.36 Sm.upf
Gd 157.25 Gd.upf
N 14.01 N.upf
O 16.00 O.upf
ATOMIC_POSITIONS angstrom
Sm 0.474 1.012 0.000
Sm 2.901 1.012 2.516
Sm 3.848 7.192 0.000
Sm 6.275 7.192 2.516
Gd 0.560 5.130 5.027
Gd 2.814 5.130 2.511
Gd 3.935 3.074 5.027
Gd 6.188 3.074 2.511
N 0.498 5.107 2.512
N 2.877 5.107 5.028
N 3.872 3.096 2.512
N 6.251 3.096 5.028
O 0.613 1.108 2.515
O 2.761 1.108 5.032
O 3.987 7.096 2.515
O 6.136 7.096 5.032
CELL_PARAMETERS angstrom
6.749 0.000 0.000
0.000 8.203 0.000
0.000 0.000 5.033
! Size of the total moment   0.01 μB/f.u.
! Energy relative to the lowest polymorph listed for this composition   0.09 eV per formula unit

[3]
! PBE-GGA BaReH7, optimized geometry; values from VASP
&SYSTEM
  ibrav = 0, nat = 18, ntyp = 3
/
ATOMIC_SPECIES
Ba 137.33 Ba.upf
Re 186.21 Re.upf
H 1.01 H.upf
ATOMIC_POSITIONS angstrom
Ba 0.000 0.000 0.000
Ba 0.000 4.756 0.000
Re 1.560 2.378 2.411
Re 1.863 7.135 2.655
H 0.079 1.480 2.438
H 0.079 3.276 2.438
H 1.509 2.378 0.699
H 1.661 5.542 3.220
H 1.661 8.727 3.220
H 1.700 1.386 3.808
H 1.700 3.370 3.808
H 1.723 6.143 1.259
H 1.723 8.127 1.259
H 1.762 0.786 1.846
H 1.762 3.971 1.846
H 1.914 7.135 4.367
H 3.344 6.237 2.628
H 3.344 8.033 2.628
CELL_PARAMETERS angstrom
3.461 0.000 0.000
0.000 9.513 0.000
-0.038 0.000 5.066
! Size of the total moment   0.00 μB/f.u.
! Final energy   -4.34 eV/atom

[4]
! PBE-GGA Ga20SbMo4, optimized geometry; values from VASP
&SYSTEM
  ibrav = 0, nat = 25, ntyp = 3
/
ATOMIC_SPECIES
Ga 69.72 Ga.upf
Sb 121.76 Sb.upf
Mo 95.94 Mo.upf
ATOMIC_POSITIONS angstrom
Ga 3.249 3.249 -1.331
Ga 3.249 -3.249 1.331
Ga 2.730 0.737 0.000
Ga 7.351 -1.784 1.332
Ga 4.713 -0.853 1.331
Ga 5.761 -3.768 2.663
Ga 8.282 0.853 1.331
Ga 5.564 4.743 0.000
Ga 5.644 1.784 1.332
Ga 1.754 -0.934 2.663
Ga -3.249 3.249 1.331
Ga 3.249 3.249 1.331
Ga 4.743 7.431 0.000
Ga 0.853 4.713 1.331
Ga 0.934 1.754 2.663
Ga -1.784 5.644 1.332
Ga 0.737 10.266 0.000
Ga 1.784 7.351 1.332
Ga -0.853 8.282 1.331
Ga 3.768 5.761 2.663
Sb 0.000 0.000 0.000
Mo 7.551 3.018 0.000
Mo 3.018 5.444 0.000
Mo 3.480 1.054 2.663
Mo -1.054 3.480 2.663
CELL_PARAMETERS angstrom
-6.498 6.498 2.663
6.498 -6.498 2.663
6.498 6.498 -2.663
! Size of the total moment   0.01 μB/f.u.
! Final energy   -4.47 eV/atom

[5]
! PBE-GGA NaCdAsO, optimized geometry; values from VASP
&SYSTEM
  ibrav = 0, nat = 8, ntyp = 4
/
ATOMIC_SPECIES
Na 22.99 Na.upf
Cd 112.41 Cd.upf
As 74.92 As.upf
O 16.00 O.upf
ATOMIC_POSITIONS angstrom
Na 0.000 0.939 0.000
Na 0.000 6.705 2.878
Cd 1.634 1.606 2.754
Cd 1.634 6.038 5.632
As 0.000 3.711 2.119
As 0.000 3.932 4.997
O 1.634 0.145 4.292
O 1.634 7.499 1.413
CELL_PARAMETERS angstrom
3.268 0.000 0.000
0.000 7.644 0.000
0.000 0.000 5.756
! Energy relative to the lowest polymorph listed for this composition   0.00 eV per formula unit

[6]
! PBE-GGA ZrB4Ir, optimized geometry; values from VASP
&SYSTEM
  ibrav = 0, nat = 6, ntyp = 3
/
ATOMIC_SPECIES
Zr 91.22 Zr.upf
B 10.81 B.upf
Ir 192.22 Ir.upf
ATOMIC_POSITIONS angstrom
Zr 0.000 0.000 0.000
B 1.554 -0.921 1.737
B 1.554 0.921 1.737
B 0.000 1.692 1.879
B 0.000 3.535 1.879
Ir 0.000 0.000 3.616
CELL_PARAMETERS angstrom
-1.554 2.614 3.616
1.554 -2.614 3.616
1.554 2.614 -3.616
! Size of the total moment   0.00 μB/f.u.
! Energy relative to the lowest polymorph listed for this composition   1.44 eV per formula unit

[7]
! PBE-GGA Cd2H3ClO3, optimized geometry; values from VASP
&SYSTEM
  ibrav = 0, nat = 36, ntyp = 4
/
ATOMIC_SPECIES
Cd 112.41 Cd.upf
H 1.01 H.upf
Cl 35.45 Cl.upf
O 16.00 O.upf
ATOMIC_POSITIONS angstrom
Cd 0.000 0.000 0.000
Cd 0.000 3.698 0.000
Cd 1.253 1.849 2.642
Cd 2.126 5.546 7.579
Cd 3.378 0.000 4.937
Cd 3.378 3.698 4.937
Cd 4.631 1.849 2.295
Cd 5.504 5.546 7.233
H 0.552 0.407 7.092
H 0.552 3.291 7.092
H 1.220 5.546 4.840
H 2.159 1.849 9.777
H 2.827 4.104 2.155
H 2.827 6.988 2.155
H 3.930 0.407 7.720
H 3.930 3.291 7.720
H 4.598 5.546 0.098
H 5.537 1.849 5.035
H 6.205 4.104 2.782
H 6.205 6.988 2.782
Cl 1.245 1.849 5.376
Cl 2.134 5.546 0.439
Cl 4.623 1.849 9.436
Cl 5.512 5.546 4.498
O 0.406 4.049 7.692
O 0.406 7.043 7.692
O 1.258 1.849 0.284
O 2.120 5.546 5.221
O 2.972 0.352 2.755
O 2.972 3.346 2.755
O 3.785 4.049 7.119
O 3.785 7.043 7.119
O 4.637 1.849 4.654
O 5.499 5.546 9.591
O 6.351 0.352 2.182
O 6.351 3.346 2.182
CELL_PARAMETERS angstrom
6.757 0.000 0.000
0.000 7.395 0.000
0.000 0.000 9.874
! Final energy   -4.27 eV/atom

[8]
! PBE-GGA Lu3In3PtAu, optimized geometry; values from VASP
&SYSTEM
  ibrav = 0, nat = 8, ntyp = 4
/
ATOMIC_SPECIES
Lu 174.97 Lu.upf
In 114.82 In.upf
Pt 195.08 Pt.upf
Au 196.97 Au.upf
ATOMIC_POSITIONS angstrom
Lu -1.530 2.813 0.000
Lu -0.633 6.559 0.000
Lu 2.163 3.909 0.000
In -2.946 5.104 1.794
In 0.887 1.538 1.794
In 2.059 6.640 1.794
Pt 0.000 4.427 1.794
Au 3.834 2.214 1.794
CELL_PARAMETERS angstrom
7.668 0.000 0.000
-3.834 6.641 0.000
0.000 0.000 3.587
! Size of the total moment   0.01 μB/f.u.
! Final energy   -4.67 eV/atom

[9]
! PBE-GGA NaSmCdSe3, optimized geometry; values from VASP
&SYSTEM
  ibrav = 0, nat = 12, ntyp = 4
/
ATOMIC_SPECIES
Na 22.99 Na.upf
Sm 150.36 Sm.upf
Cd 112.41 Cd.upf
Se 78.96 Se.upf
ATOMIC_POSITIONS angstrom
Na 2.101 3.545 8.436
Na 2.101 -3.545 2.812
Sm 0.000 0.000 0.000
Sm 0.000 0.000 5.624
Cd 2.101 0.431 2.812
Cd 2.101 -0.431 8.436
Se 2.101 5.677 2.812
Se 2.101 1.940 0.682
Se 2.101 1.940 4.942
Se 2.101 -1.940 6.306
Se 2.101 -1.940 10.566
Se 2.101 -5.677 8.436
CELL_PARAMETERS angstrom
2.101 -6.911 0.000
2.101 6.911 0.000
0.000 0.000 11.248
! Size of the total moment   0.00 μB/f.u.
! Energy relative to the lowest polymorph listed for this composition   0.10 eV per formula unit

[10]
! PBE-GGA TbDySi2, optimized geometry; values from VASP
&SYSTEM
  ibrav = 0, nat = 8, ntyp = 3
/
ATOMIC_SPECIES
Tb 158.93 Tb.upf
Dy 162.50 Dy.upf
Si 28.09 Si.upf
ATOMIC_POSITIONS angstrom
Tb 0.000 0.772 0.000
Tb 0.000 4.943 3.962
Dy 1.921 2.086 2.838
Dy 1.921 3.629 6.801
Si 0.000 2.165 5.080
Si 0.000 3.550 1.118
Si 1.921 0.693 5.682
Si 1.921 5.022 1.720
CELL_PARAMETERS angstrom
3.843 0.000 0.000
0.000 5.715 0.000
0.000 0.000 7.925
! Size of the total moment   0.01 μB/f.u.
! Final energy   -5.85 eV/atom

[11]
! PBE-GGA NaTaW, optimized geometry; values from VASP
&SYSTEM
  ibrav = 0, nat = 3, ntyp = 3
/
ATOMIC_SPECIES
Na 22.99 Na.upf
Ta 180.95 Ta.upf
W 183.84 W.upf
ATOMIC_POSITIONS angstrom
Na 0.000 0.000 0.000
Ta 1.596 1.596 1.596
W 3.193 3.193 3.193
CELL_PARAMETERS angstrom
0.000 3.193 3.193
3.193 0.000 3.193
3.193 3.193 0.000
! Size of the total moment   0.05 μB/f.u.
! Energy relative to the lowest polymorph listed for this composition   0.00 eV per formula unit

[12]
! PBE-GGA Gd6GeIr2, optimized geometry; values from VASP
&SYSTEM
  ibrav = 0, nat = 9, ntyp = 3
/
ATOMIC_SPECIES
Gd 157.25 Gd.upf
Ge 72.64 Ge.upf
Ir 192.22 Ir.upf
ATOMIC_POSITIONS angstrom
Gd -1.570 2.719 0.000
Gd -2.829 4.900 2.221
Gd 1.036 1.794 2.221
Gd 3.139 0.000 0.000
Gd 2.295 3.976 0.000
Gd 5.659 0.000 2.221
Ge 0.000 0.000 0.000
Ir 0.000 4.463 2.221
Ir 3.865 2.231 2.221
CELL_PARAMETERS angstrom
7.730 0.000 0.000
-3.865 6.694 0.000
0.000 0.000 4.442
! Size of the total moment   0.02 μB/f.u.
! Final energy   -6.12 eV/atom

[13]
! PBE-GGA BaHoCd, optimized geometry; values from VASP
&SYSTEM
  ibrav = 0, nat = 3, ntyp = 3
/
ATOMIC_SPECIES
Ba 137.33 Ba.upf
Ho 164.93 Ho.upf
Cd 112.41 Cd.upf
ATOMIC_POSITIONS angstrom
Ba 0.000 0.000 0.000
Ho 3.894 3.894 3.894
Cd 1.947 1.947 1.947
CELL_PARAMETERS angstrom
0.000 3.894 3.894
3.894 0.000 3.894
3.894 3.894 0.000
! Size of the total moment   0.09 μB/f.u.
! Energy relative to the lowest polymorph listed for this composition   0.00 eV per formula unit

[14]
! PBE-GGA LuTlFeSe3, optimized geometry; values from VASP
&SYSTEM
  ibrav = 0, nat = 24, ntyp = 4
/
ATOMIC_SPECIES
Lu 174.97 Lu.upf
Tl 204.38 Tl.upf
Fe 55.84 Fe.upf
Se 78.96 Se.upf
ATOMIC_POSITIONS angstrom
Lu 0.214 1.052 2.176
Lu 5.490 3.156 8.341
Lu 5.918 1.052 3.989
Lu 11.194 3.156 10.154
Tl 2.009 1.052 6.186
Tl 3.695 3.156 0.020
Tl 7.713 1.052 12.310
Tl 9.399 3.156 6.145
Fe 2.830 3.156 3.706
Fe 2.874 1.052 9.872
Fe 8.534 3.156 2.459
Fe 8.578 1.052 8.624
Se 0.445 3.156 4.080
Se 1.115 1.052 11.579
Se 2.559 3.156 8.623
Se 3.145 1.052 2.458
Se 4.589 3.156 5.414
Se 5.259 1.052 10.245
Se 6.149 3.156 2.086
Se 6.819 1.052 6.916
Se 8.263 3.156 9.873
Se 8.849 1.052 3.708
Se 10.293 3.156 0.751
Se 10.963 1.052 8.251
CELL_PARAMETERS angstrom
11.408 0.000 0.000
0.000 4.207 0.000
0.000 0.000 12.330
! Size of the total moment   3.98 μB/f.u.
! Energy relative to the lowest polymorph listed for this composition   0.65 eV per formula unit

[15]
! PBE-GGA PmCdPt, optimized geometry; values from VASP
&SYSTEM
  ibrav = 0, nat = 3, ntyp = 3
/
ATOMIC_SPECIES
Pm 145.00 Pm.upf
Cd 112.41 Cd.upf
Pt 195.08 Pt.upf
ATOMIC_POSITIONS angstrom
Pm 0.000 0.000 0.000
Cd 3.384 3.384 3.384
Pt 5.076 5.076 5.076
CELL_PARAMETERS angstrom
0.000 3.384 3.384
3.384 0.000 3.384
3.384 3.384 0.000
! Size of the total moment   0.00 μB/f.u.
! Formation energy   -0.75 eV/atom
! Energy relative to the lowest polymorph listed for this composition   0.00 eV per formula unit

[16]
! PBE-GGA CsSiAgS3, optimized geometry; values from VASP
&SYSTEM
  ibrav = 0, nat = 24, ntyp = 4
/
ATOMIC_SPECIES
Cs 132.91 Cs.upf
Si 28.09 Si.upf
Ag 107.87 Ag.upf
S 32.06 S.upf
ATOMIC_POSITIONS angstrom
Cs 3.542 0.921 0.299
Cs 4.176 2.764 5.446
Cs 11.260 0.921 4.849
Cs 11.894 2.764 9.997
Si 0.178 0.921 3.659
Si 7.540 2.764 8.807
Si 7.896 0.921 1.488
Si 15.258 2.764 6.636
Ag 0.425 2.764 0.869
Ag 7.293 0.921 6.017
Ag 8.143 2.764 4.279
Ag 15.011 0.921 9.427
S 1.162 0.921 5.716
S 1.181 2.764 8.453
S 1.642 2.764 3.019
S 6.076 0.921 8.167
S 6.537 0.921 3.305
S 6.556 2.764 0.568
S 8.880 0.921 9.727
S 8.899 2.764 6.990
S 9.360 2.764 2.129
S 13.794 0.921 7.276
S 14.255 0.921 1.843
S 14.274 2.764 4.579
CELL_PARAMETERS angstrom
15.436 0.000 0.000
0.000 3.686 0.000
0.000 0.000 10.295
! Energy relative to the lowest polymorph listed for this composition   0.01 eV per formula unit

[17]
! PBE-GGA Nb3ClO4, optimized geometry; values from VASP
&SYSTEM
  ibrav = 0, nat = 16, ntyp = 3
/
ATOMIC_SPECIES
Nb 92.91 Nb.upf
Cl 35.45 Cl.upf
O 16.00 O.upf
ATOMIC_POSITIONS angstrom
Nb -0.091 1.093 1.292
Nb -0.273 3.952 3.877
Nb 2.202 1.761 4.590
Nb 2.384 3.284 2.006
Nb 4.800 1.761 3.163
Nb 4.982 3.284 0.578
Cl 3.683 0.443 1.292
Cl 3.501 4.602 3.877
O 0.881 2.243 3.049
O 1.063 2.802 0.464
O 0.788 0.294 4.948
O 0.970 4.751 2.364
O 6.215 0.294 2.805
O 6.396 4.751 0.221
O 6.121 2.243 4.705
O 6.303 2.802 2.120
CELL_PARAMETERS angstrom
7.548 0.000 0.000
0.000 5.045 0.000
-0.364 0.000 5.169
! Size of the total moment   0.04 μB/f.u.
! Final energy   -8.25 eV/atom

[18]
! PBE-GGA Tm3Hf3In2Co, optimized geometry; values from VASP
&SYSTEM
  ibrav = 0, nat = 9, ntyp = 4
/
ATOMIC_SPECIES
Tm 168.93 Tm.upf
Hf 178.49 Hf.upf
In 114.82 In.upf
Co 58.93 Co.upf
ATOMIC_POSITIONS angstrom
Tm -1.624 2.812 0.000
Tm 3.248 0.000 0.000
Tm 2.968 5.141 0.000
Hf -3.267 5.659 0.000
Hf 1.325 2.294 0.000
Hf 6.534 0.000 0.000
In 0.000 5.302 0.000
In 4.592 2.651 0.000
Co 0.000 0.000 0.000
CELL_PARAMETERS angstrom
9.183 0.000 0.000
-4.592 7.953 0.000
0.000 0.000 3.039
! Size of the total moment   0.09 μB/f.u.
! Energy relative to the lowest polymorph listed for this composition   0.00 eV per formula unit

[19]
! PBE-GGA Zr4BPb2N, optimized geometry; values from VASP
&SYSTEM
  ibrav = 0, nat = 8, ntyp = 4
/
ATOMIC_SPECIES
Zr 91.22 Zr.upf
B 10.81 B.upf
Pb 207.20 Pb.upf
N 14.01 N.upf
ATOMIC_POSITIONS angstrom
Zr 0.000 1.993 1.281
Zr 0.000 1.993 6.257
Zr 1.726 0.996 8.580
Zr 1.726 0.996 13.556
B 0.000 0.000 0.000
Pb 0.000 1.993 11.056
Pb 1.726 0.996 3.781
N 0.000 0.000 7.419
CELL_PARAMETERS angstrom
3.452 0.000 0.000
-1.726 2.989 0.000
0.000 0.000 14.837
! Size of the total moment   0.04 μB/f.u.
! Final energy   -7.81 eV/atom

[20]
! PBE-GGA PaTeNO, optimized geometry; values from VASP
&SYSTEM
  ibrav = 0, nat = 8, ntyp = 4
/
ATOMIC_SPECIES
Pa 231.04 Pa.upf
Te 127.60 Te.upf
N 14.01 N.upf
O 16.00 O.upf
ATOMIC_POSITIONS angstrom
Pa 0.000 0.000 0.000
Pa 2.943 0.000 2.423
Te 3.893 1.534 5.210
Te 3.893 -1.534 5.210
N 0.958 0.000 3.466
N 3.907 0.000 6.862
O 1.712 1.538 1.166
O 1.712 -1.538 1.166
CELL_PARAMETERS angstrom
2.945 -3.070 0.000
2.945 3.070 0.000
-0.069 0.000 8.050
! Size of the total moment   1.02 μB/f.u.
! Energy relative to the lowest polymorph listed for this composition   1.11 eV per formula unit